1.
Nd2Dy3TmBi6: relaxed, GGA-PBE.

Calculated values
* magnetic moment: 0.00 Bohr magnetons per cell
* ΔH_f (0 K): -871.3 meV/atom

Lattice parameters (Å, degrees): 10.0917 10.0917 9.0285 102.89 102.89 25.86
Positions (direct):
Nd 0.1657 0.1657 0.3324
Nd 0.8343 0.8343 0.6676
Dy 0.1686 0.1686 0.8340
Dy 0.5000 0.5000 0.5000
Dy 0.8314 0.8314 0.1660
Tm 0.5000 0.5000 0.0000
Bi 0.0031 0.0031 0.7540
Bi 0.3351 0.3351 0.4118
Bi 0.3350 0.3350 0.9239
Bi 0.6650 0.6650 0.0761
Bi 0.6649 0.6649 0.5881
Bi 0.9969 0.9969 0.2460

---

2.
NaNd2Ir9: relaxed, GGA-PBE.

Calculated values
* magnetic moment: 0.00 Bohr magnetons per cell
* ΔH_f (0 K): -250.5 meV/atom

Lattice parameters (Å, degrees): 9.3136 9.3136 9.3136 33.49 33.49 33.49
Positions (direct):
Na 0.0000 0.0000 0.0000
Nd 0.1365 0.1365 0.1365
Nd 0.8635 0.8635 0.8635
Ir 0.0837 0.5791 0.5791
Ir 0.3322 0.3322 0.3322
Ir 0.4209 0.4209 0.9163
Ir 0.4209 0.9163 0.4209
Ir 0.5000 0.5000 0.5000
Ir 0.5791 0.0837 0.5791
Ir 0.5791 0.5791 0.0837
Ir 0.6678 0.6678 0.6678
Ir 0.9163 0.4209 0.4209

---

3.
AcNd3Er8: relaxed, GGA-PBE.

Calculated values
* magnetic moment: 0.00 Bohr magnetons per cell
* ΔH_f (0 K): 299.0 meV/atom

Lattice parameters (Å, degrees): 8.7810 8.7810 8.7810 137.61 98.54 96.48
Positions (direct):
Ac 0.0000 0.0000 0.0000
Nd 0.2560 0.5000 0.7560
Nd 0.5000 0.0000 0.5000
Nd 0.7440 0.5000 0.2440
Er 0.0731 0.8221 0.2510
Er 0.2586 0.0111 0.7525
Er 0.2586 0.5061 0.2475
Er 0.4289 0.1779 0.2510
Er 0.5711 0.8221 0.7490
Er 0.7414 0.4939 0.7525
Er 0.7414 0.9889 0.2475
Er 0.9269 0.1779 0.7490

---

4.
KMnCr2: relaxed, GGA-PBE.

Calculated values
* magnetic moment: 2.65 Bohr magnetons per cell
* ΔH_f (0 K): 892.7 meV/atom
* E above lowest polymorph: 0.1268 eV/atom

Lattice parameters (Å, degrees): 2.7592 2.7592 9.6527 90.00 90.00 113.52
Positions (direct):
K 0.0000 0.0000 0.0000
Mn 0.5000 0.5000 0.6852
Cr 0.0000 0.0000 0.4895
Cr 0.5000 0.5000 0.3171

---

5.
Mn2MoCl: relaxed, GGA-PBE.

Calculated values
* magnetic moment: 3.82 Bohr magnetons per cell
* uncorrected formation energy: 0.345 eV per atom
* E above lowest polymorph: 0.2024 eV/atom

Lattice parameters (Å, degrees): 7.4089 7.4089 7.4089 156.95 156.11 33.44
Positions (direct):
Mn 0.0000 0.0000 0.0000
Mn 0.6369 0.1369 0.5000
Mo 0.2200 0.7200 0.5000
Cl 0.3739 0.3739 0.0000

---

6.
Sc2AgIr: relaxed, GGA-PBE.

Calculated values
* magnetic moment: 0.00 Bohr magnetons per cell
* ΔH_f (0 K): -378.0 meV/atom
* E above lowest polymorph: 0.2877 eV/atom

Lattice parameters (Å, degrees): 3.6842 3.6842 5.8206 90.00 90.00 90.00
Positions (direct):
Sc 0.0000 0.0000 0.0000
Sc 0.5000 0.5000 0.3372
Ag 0.0000 0.0000 0.5323
Ir 0.5000 0.5000 0.8775

---

7.
TbPrAsP: relaxed, GGA-PBE.

Calculated values
* magnetic moment: 0.00 Bohr magnetons per cell
* ΔH_f (0 K): -1506.6 meV/atom

Lattice parameters (Å, degrees): 4.1813 4.1813 5.8900 90.00 90.00 90.00
Positions (direct):
Tb 0.0000 0.0000 0.0000
Pr 0.5000 0.5000 0.5000
As 0.0000 0.0000 0.5000
P 0.5000 0.5000 0.0000

---

8.
TbPaGaAu: relaxed, GGA-PBE.

Calculated values
* magnetic moment: 1.80 Bohr magnetons per cell
* ΔH_f (0 K): -318.3 meV/atom

Lattice parameters (Å, degrees): 5.1140 5.1140 5.1140 60.00 60.00 60.00
Positions (direct):
Tb 0.0000 0.0000 0.0000
Pa 0.5000 0.5000 0.5000
Ga 0.7500 0.7500 0.7500
Au 0.2500 0.2500 0.2500

---

9.
ZrCr2Re: relaxed, GGA-PBE.

Calculated values
* magnetic moment: 0.00 Bohr magnetons per cell
* ΔH_f (0 K): 145.9 meV/atom
* E above lowest polymorph: 0.1189 eV/atom

Lattice parameters (Å, degrees): 2.8072 4.1807 5.2947 90.00 100.98 90.00
Positions (direct):
Zr 0.0000 0.0000 0.0000
Cr 0.2278 0.5000 0.7055
Cr 0.7722 0.5000 0.2945
Re 0.5000 0.0000 0.5000

---

10.
LaPmTm2Tl4: relaxed, GGA-PBE.

Calculated values
* magnetic moment: 0.00 Bohr magnetons per cell
* ΔH_f (0 K): -346.3 meV/atom

Lattice parameters (Å, degrees): 9.4438 9.4438 9.4438 33.46 33.46 33.46
Positions (direct):
La 0.0000 0.0000 0.0000
Pm 0.5000 0.5000 0.5000
Tm 0.2497 0.2497 0.2497
Tm 0.7503 0.7503 0.7503
Tl 0.1261 0.1261 0.1261
Tl 0.3763 0.3763 0.3763
Tl 0.6237 0.6237 0.6237
Tl 0.8739 0.8739 0.8739

---

11.
BeTl2Zn2: relaxed, GGA-PBE.

Calculated values
* magnetic moment: 0.00 Bohr magnetons per cell
* ΔH_f (0 K): 368.3 meV/atom

Lattice parameters (Å, degrees): 6.2769 6.2769 5.5365 90.00 90.00 90.00
Positions (direct):
Be 0.0000 0.0000 0.0000
Be 0.5000 0.5000 0.0000
Tl 0.1902 0.3098 0.5000
Tl 0.3098 0.8098 0.5000
Tl 0.6902 0.1902 0.5000
Tl 0.8098 0.6902 0.5000
Zn 0.1621 0.6621 0.0000
Zn 0.3379 0.1621 0.0000
Zn 0.6621 0.8379 0.0000
Zn 0.8379 0.3379 0.0000

---

12.
BaCd12Ag4: relaxed, GGA-PBE.

Calculated values
* magnetic moment: 0.00 Bohr magnetons per cell
* ΔH_f (0 K): 63.2 meV/atom

Lattice parameters (Å, degrees): 8.4575 8.4575 8.4575 109.47 109.47 109.47
Positions (direct):
Ba 0.0000 0.0000 0.0000
Cd 0.1554 0.3513 0.5067
Cd 0.1554 0.6487 0.8042
Cd 0.1958 0.8446 0.3513
Cd 0.3513 0.1958 0.8446
Cd 0.3513 0.5067 0.1554
Cd 0.4933 0.8446 0.6487
Cd 0.5067 0.1554 0.3513
Cd 0.6487 0.4933 0.8446
Cd 0.6487 0.8042 0.1554
Cd 0.8042 0.1554 0.6487
Cd 0.8446 0.3513 0.1958
Cd 0.8446 0.6487 0.4933
Ag 0.0000 0.0000 0.5000
Ag 0.0000 0.5000 0.0000
Ag 0.5000 0.0000 0.0000
Ag 0.5000 0.5000 0.5000

---

13.
KFeCu2: relaxed, GGA-PBE.

Calculated values
* magnetic moment: 2.82 Bohr magnetons per cell
* ΔH_f (0 K): 729.6 meV/atom
* E above lowest polymorph: 0.2139 eV/atom

Lattice parameters (Å, degrees): 5.9773 5.9773 5.9773 154.65 128.20 58.53
Positions (direct):
K 0.0000 0.0000 0.0000
Fe 0.7025 0.2025 0.5000
Cu 0.2858 0.7858 0.5000
Cu 0.4924 0.4924 0.0000

---

14.
FeAg4P: relaxed, GGA-PBE.

Calculated values
* magnetic moment: 3.15 Bohr magnetons per cell
* ΔH_f (0 K): 657.6 meV/atom

Lattice parameters (Å, degrees): 5.4008 5.4008 5.4008 60.00 60.00 60.00
Positions (direct):
Fe 0.0000 0.0000 0.0000
Ag 0.3748 0.3748 0.3748
Ag 0.3748 0.3748 0.8757
Ag 0.3748 0.8757 0.3748
Ag 0.8757 0.3748 0.3748
P 0.7500 0.7500 0.7500

---

15.
BeHNF2: relaxed, GGA-PBE.

Calculated values
* magnetic moment: 2.03 Bohr magnetons per cell
* E above lowest polymorph: 0.5862 eV/atom

Lattice parameters (Å, degrees): 3.9203 3.9203 2.6093 90.00 90.00 90.00
Positions (direct):
Be 0.0000 0.0000 0.0000
H 0.5000 0.5000 0.5000
N 0.5000 0.5000 0.0000
F 0.0000 0.5000 0.5000
F 0.5000 0.0000 0.5000

---

16.
Pa3Ge4Rh2: relaxed, GGA-PBE.

Calculated values
* magnetic moment: 0.00 Bohr magnetons per cell
* ΔH_f (0 K): -661.2 meV/atom

Lattice parameters (Å, degrees): 5.7582 5.7582 8.1096 103.73 103.73 44.39
Positions (direct):
Pa 0.0000 0.0000 0.0000
Pa 0.3368 0.3368 0.3356
Pa 0.6632 0.6632 0.6644
Ge 0.0728 0.0728 0.4017
Ge 0.2731 0.2731 0.9335
Ge 0.7269 0.7269 0.0665
Ge 0.9272 0.9272 0.5983
Rh 0.4130 0.4130 0.7315
Rh 0.5870 0.5870 0.2685

---

17.
PrDy3Hg: relaxed, GGA-PBE.

Calculated values
* magnetic moment: 0.00 Bohr magnetons per cell
* ΔH_f (0 K): -103.2 meV/atom
* E above lowest polymorph: 0.0649 eV/atom

Lattice parameters (Å, degrees): 6.7768 6.7768 7.9824 107.46 107.46 66.15
Positions (direct):
Pr 0.0570 0.0570 0.2351
Pr 0.9430 0.9430 0.7649
Dy 0.0903 0.5880 0.3578
Dy 0.4120 0.9097 0.6422
Dy 0.4386 0.4386 0.7554
Dy 0.5614 0.5614 0.2446
Dy 0.5880 0.0903 0.3578
Dy 0.9097 0.4120 0.6422
Hg 0.2637 0.2637 0.9997
Hg 0.7363 0.7363 0.0003

---

18.
K2ThAu2Se4: relaxed, GGA-PBE.

Calculated values
* magnetic moment: 0.00 Bohr magnetons per cell
* uncorrected formation energy: -1.057 eV per atom

Lattice parameters (Å, degrees): 8.0380 8.0380 8.0686 108.92 108.92 31.02
Positions (direct):
K 0.1364 0.1364 0.0829
K 0.8636 0.8636 0.9171
Th 0.0000 0.0000 0.5000
Au 0.3284 0.3284 0.4978
Au 0.6716 0.6716 0.5022
Se 0.1980 0.1980 0.7070
Se 0.4887 0.4887 0.7480
Se 0.5113 0.5113 0.2520
Se 0.8020 0.8020 0.2930

---

19.
BeInAs2: relaxed, GGA-PBE.

Calculated values
* magnetic moment: 0.00 Bohr magnetons per cell
* ΔH_f (0 K): 249.5 meV/atom

Lattice parameters (Å, degrees): 5.7416 5.7416 5.7416 143.38 126.59 66.50
Positions (direct):
Be 0.0000 0.0000 0.0000
In 0.5000 0.5000 0.0000
As 0.1430 0.6430 0.5000
As 0.8570 0.3570 0.5000

---

20.
Gd2ZnIn: relaxed, GGA-PBE.

Calculated values
* magnetic moment: 14.81 Bohr magnetons per cell
* ΔH_f (0 K): -434.1 meV/atom
* E above lowest polymorph: 0.0000 eV/atom

Lattice parameters (Å, degrees): 3.6639 3.6639 7.5823 90.00 90.00 90.00
Positions (direct):
Gd 0.0000 0.0000 0.2324
Gd 0.0000 0.0000 0.7676
Zn 0.5000 0.5000 0.0000
In 0.5000 0.5000 0.5000

---

21.
Nd4Sm3In: relaxed, GGA-PBE.

Calculated values
* magnetic moment: 0.00 Bohr magnetons per cell
* ΔH_f (0 K): -99.4 meV/atom
* E above lowest polymorph: 0.0000 eV/atom

Lattice parameters (Å, degrees): 11.4912 7.2461 6.2915 90.00 90.00 90.00
Positions (direct):
Nd 0.0000 0.1280 0.0000
Nd 0.0000 0.8675 0.4514
Nd 0.2301 0.8664 0.8158
Nd 0.2699 0.1336 0.3158
Nd 0.5000 0.1325 0.9514
Nd 0.5000 0.8720 0.5000
Nd 0.7301 0.1336 0.3158
Nd 0.7699 0.8664 0.8158
Sm 0.0000 0.3738 0.4732
Sm 0.2447 0.3848 0.7990
Sm 0.2553 0.6152 0.2990
Sm 0.5000 0.6262 0.9732
Sm 0.7447 0.6152 0.2990
Sm 0.7553 0.3848 0.7990
In 0.0000 0.6126 0.9772
In 0.5000 0.3874 0.4772

---

22.
Ca2LaRu: relaxed, GGA-PBE.

Calculated values
* magnetic moment: 0.27 Bohr magnetons per cell
* ΔH_f (0 K): 330.6 meV/atom
* E above lowest polymorph: 0.4831 eV/atom

Lattice parameters (Å, degrees): 11.1625 11.1625 11.1625 18.17 18.17 18.17
Positions (direct):
Ca 0.2274 0.2274 0.2274
Ca 0.7726 0.7726 0.7726
La 0.0000 0.0000 0.0000
Ru 0.5000 0.5000 0.5000

---

23.
Pa2CoIr: relaxed, GGA-PBE.

Calculated values
* magnetic moment: 0.00 Bohr magnetons per cell
* ΔH_f (0 K): -616.1 meV/atom
* E above lowest polymorph: 0.0000 eV/atom

Lattice parameters (Å, degrees): 5.7685 4.0032 7.4268 90.00 108.90 90.00
Positions (direct):
Pa 0.2219 0.2500 0.4396
Pa 0.2230 0.2500 0.9209
Pa 0.7770 0.7500 0.0791
Pa 0.7781 0.7500 0.5604
Co 0.2940 0.7500 0.6986
Co 0.7060 0.2500 0.3014
Ir 0.3157 0.7500 0.2031
Ir 0.6843 0.2500 0.7969

---

24.
PmFeCo4: relaxed, GGA-PBE.

Calculated values
* magnetic moment: 8.67 Bohr magnetons per cell
* ΔH_f (0 K): 47.2 meV/atom

Lattice parameters (Å, degrees): 4.9307 4.9307 4.9307 60.00 60.00 60.00
Positions (direct):
Pm 0.0000 0.0000 0.0000
Fe 0.7500 0.7500 0.7500
Co 0.3763 0.3763 0.3763
Co 0.3763 0.3763 0.8711
Co 0.3763 0.8711 0.3763
Co 0.8711 0.3763 0.3763

---

25.
La2Sm15Er2: relaxed, GGA-PBE.

Calculated values
* magnetic moment: 0.17 Bohr magnetons per cell
* ΔH_f (0 K): 247.1 meV/atom

Lattice parameters (Å, degrees): 8.8739 8.8739 8.8739 80.09 80.09 80.09
Positions (direct):
La 0.1750 0.1750 0.1750
La 0.8250 0.8250 0.8250
Sm 0.0000 0.5000 0.5000
Sm 0.1310 0.1310 0.6507
Sm 0.1310 0.6507 0.1310
Sm 0.2060 0.5000 0.7940
Sm 0.2060 0.7940 0.5000
Sm 0.3493 0.8690 0.8690
Sm 0.5000 0.0000 0.5000
Sm 0.5000 0.2060 0.7940
Sm 0.5000 0.5000 0.0000
Sm 0.5000 0.7940 0.2060
Sm 0.6507 0.1310 0.1310
Sm 0.7940 0.2060 0.5000
Sm 0.7940 0.5000 0.2060
Sm 0.8690 0.3493 0.8690
Sm 0.8690 0.8690 0.3493
Er 0.4053 0.4053 0.4053
Er 0.5947 0.5947 0.5947